Density functional theory data (GGA-PBE) for crystalline BaH8N2 at its relaxed geometry.

a = 6.235 Å, b = 4.739 Å, c = 4.739 Å
α = 83.55°, β = 88.45°, γ = 88.45°
Atoms (fractional coordinates):
N 0.259 0.304 0.304
N 0.741 0.696 0.696
H 0.422 0.269 0.269
H 0.255 0.531 0.059
H 0.745 0.469 0.941
H 0.578 0.731 0.731
H 0.257 0.450 0.450
H 0.743 0.550 0.550
H 0.745 0.941 0.469
H 0.255 0.059 0.531
Ba 0.000 0.000 0.000

symmetry: C2/m (12)
raw total energy: -4.024 eV per atom



Density functional theory data (GGA-PBE) for crystalline Na2Ag3S4 at its relaxed geometry.

a = 5.905 Å, b = 5.905 Å, c = 7.545 Å
α = 108.65°, β = 108.65°, γ = 100.54°
Atoms (fractional coordinates):
S 0.650 0.100 0.750
S 0.350 0.900 0.250
S 0.900 0.350 0.250
S 0.100 0.650 0.750
Ag 0.500 0.000 0.000
Ag 0.000 0.000 0.000
Ag 0.000 0.500 0.000
Na 0.278 0.278 0.557
Na 0.722 0.722 0.443

symmetry: Fmmm (69)
energy relative to the elements, uncorrected: -0.27 eV per atom
N(E_F): 2.407 states/eV/cell



Density functional theory data (GGA-PBE) for crystalline La2TmCu4 at its relaxed geometry.

a = 5.205 Å, b = 5.205 Å, c = 7.033 Å
α = 111.55°, β = 111.55°, γ = 90.43°
Atoms (fractional coordinates):
Cu 0.395 0.895 0.791
Cu 0.895 0.395 0.791
Cu 0.105 0.605 0.209
Cu 0.605 0.105 0.209
La 0.705 0.705 0.409
La 0.295 0.295 0.591
Tm 0.000 0.000 0.000

symmetry: Fmmm (69)
N(E_F): 7.292 states/eV/cell
energy relative to the elements: -0.102 eV per formula unit



Density functional theory data (GGA-PBE) for crystalline NaY3H at its relaxed geometry.

a = 5.645 Å, b = 5.645 Å, c = 5.645 Å
α = 90.00°, β = 90.00°, γ = 90.00°
Atoms (fractional coordinates):
Y 0.000 0.500 0.000
Y 0.000 0.000 0.500
Y 0.500 0.000 0.000
H 0.500 0.500 0.500
Na 0.000 0.000 0.000

symmetry: Pm-3m (221)
excess energy over the best structure of this formula in the dataset: 1315 meV/atom
N(E_F): 6.649 states/eV/cell



Density functional theory data (GGA-PBE) for crystalline ZnTcRh2 at its relaxed geometry.

a = 2.784 Å, b = 4.608 Å, c = 4.475 Å
α = 90.00°, β = 90.00°, γ = 90.00°
Atoms (fractional coordinates):
Rh 0.000 0.000 0.000
Rh 0.500 0.500 0.000
Tc 0.500 0.000 0.500
Zn 0.000 0.500 0.500

symmetry: Pmmm (47)
N(E_F): 3.170 states/eV/cell
energy relative to the elements: 0.392 eV per formula unit



Density functional theory data (GGA-PBE) for crystalline MoRu2 at its relaxed geometry.

a = 4.374 Å, b = 4.785 Å, c = 8.330 Å
α = 90.00°, β = 90.00°, γ = 90.00°
Atoms (fractional coordinates):
Ru 0.750 0.330 0.671
Ru 0.250 0.670 0.329
Ru 0.750 0.837 0.499
Ru 0.250 0.663 0.999
Ru 0.250 0.163 0.501
Ru 0.750 0.337 0.001
Ru 0.250 0.170 0.171
Ru 0.750 0.830 0.829
Mo 0.750 0.336 0.340
Mo 0.250 0.164 0.840
Mo 0.250 0.664 0.660
Mo 0.750 0.836 0.160

symmetry: Pnma (62)
N(E_F): 14.222 states/eV/cell
energy relative to the elements: -0.025 eV per formula unit



Density functional theory data (GGA-PBE) for crystalline Na4SnPt at its relaxed geometry.

a = 5.346 Å, b = 5.583 Å, c = 11.848 Å
α = 83.91°, β = 77.19°, γ = 61.40°
Atoms (fractional coordinates):
Na 0.337 0.326 0.000
Na 0.209 0.000 0.582
Na 0.525 0.666 0.281
Na 0.809 0.666 0.719
Na 0.663 0.674 0.000
Na 0.475 0.334 0.719
Na 0.191 0.334 0.281
Na 0.791 0.000 0.418
Sn 0.936 0.000 0.128
Sn 0.064 0.000 0.872
Pt 0.251 0.499 0.500
Pt 0.749 0.501 0.500

symmetry: C2/m (12)
N(E_F): 3.263 states/eV/cell
energy relative to the elements: -1.201 eV per formula unit



Density functional theory data (GGA-PBE) for crystalline ScTaOs2Se at its relaxed geometry.

a = 4.751 Å, b = 5.232 Å, c = 4.751 Å
α = 90.00°, β = 90.00°, γ = 90.00°
Last column: magnetic moment on the atom in μB.
Atoms (fractional coordinates):
Sc 0.000 0.500 0.000  -0.03
Ta 0.000 0.000 0.000  -0.08
Se 0.500 0.500 0.500  0.04
Os 0.000 0.000 0.500  0.65
Os 0.500 0.000 0.000  0.68

symmetry: P4/mmm (123)
energy relative to the elements, uncorrected: 1.54 eV per atom
excess energy over the best structure of this formula in the dataset: 503 meV/atom
N(E_F): 4.495 states/eV/cell



Density functional theory data (GGA-PBE) for crystalline Y2LuTe at its relaxed geometry.

a = 3.809 Å, b = 3.809 Å, c = 10.874 Å
α = 79.91°, β = 79.91°, γ = 60.00°
Last column: magnetic moment on the atom in μB.
Atoms (fractional coordinates):
Y 0.898 0.898 0.306  0.08
Y 0.102 0.102 0.694  0.08
Lu 0.000 0.000 0.000  0.13
Te 0.500 0.500 0.500  0.00

symmetry: R-3m (166)
energy relative to the elements, uncorrected: -0.20 eV per atom
N(E_F): 5.742 states/eV/cell



Density functional theory data (GGA-PBE) for crystalline SrZn2W at its relaxed geometry.

a = 2.943 Å, b = 3.882 Å, c = 6.921 Å
α = 90.00°, β = 90.00°, γ = 90.00°
Last column: magnetic moment on the atom in μB.
Atoms (fractional coordinates):
Sr 0.500 0.500 0.250  0.00
Zn 0.000 0.000 0.563  0.00
Zn 0.000 0.000 0.937  0.00
W 0.500 0.500 0.750  0.08

symmetry: Pmmm (47)
excess energy over the best structure of this formula in the dataset: 0 meV/atom
N(E_F): 2.199 states/eV/cell
energy relative to the elements: 1.498 eV per formula unit



Density functional theory data (GGA-PBE) for crystalline HfV2Re at its relaxed geometry.

a = 2.950 Å, b = 2.950 Å, c = 8.801 Å
α = 80.35°, β = 80.35°, γ = 60.00°
Atoms (fractional coordinates):
Hf 0.500 0.500 0.500
V 0.258 0.258 0.226
V 0.742 0.742 0.774
Re 0.000 0.000 0.000

symmetry: R-3m (166)
excess energy over the best structure of this formula in the dataset: 315 meV/atom
N(E_F): 5.362 states/eV/cell
energy relative to the elements: 0.796 eV per formula unit



Density functional theory data (GGA-PBE) for crystalline Th2TePd at its relaxed geometry.

a = 4.163 Å, b = 4.163 Å, c = 7.810 Å
α = 90.00°, β = 90.00°, γ = 60.00°
Atoms (fractional coordinates):
Te 0.000 0.000 0.500
Th 0.333 0.333 0.780
Th 0.667 0.667 0.220
Pd 0.000 0.000 0.000

symmetry: P-3m1 (164)
energy relative to the elements, uncorrected: -0.85 eV per atom
excess energy over the best structure of this formula in the dataset: 13 meV/atom
N(E_F): 2.366 states/eV/cell



Density functional theory data (GGA-PBE) for crystalline ZnCu2Br at its relaxed geometry.

a = 3.233 Å, b = 6.002 Å, c = 3.872 Å
α = 90.00°, β = 90.00°, γ = 90.00°
Atoms (fractional coordinates):
Zn 0.500 0.000 0.500
Br 0.000 0.500 0.500
Cu 0.500 0.500 0.000
Cu 0.000 0.000 0.000

symmetry: Pmmm (47)
energy relative to the elements, uncorrected: 0.29 eV per atom
excess energy over the best structure of this formula in the dataset: 240 meV/atom
N(E_F): 1.009 states/eV/cell



Density functional theory data (GGA-PBE) for crystalline Nd2SmHg8 at its relaxed geometry.

a = 5.093 Å, b = 7.330 Å, c = 8.476 Å
α = 109.25°, β = 107.48°, γ = 90.00°
Atoms (fractional coordinates):
Hg 0.670 0.896 0.339
Hg 0.594 0.453 0.187
Hg 0.980 0.272 0.959
Hg 0.406 0.547 0.813
Hg 0.152 0.169 0.303
Hg 0.330 0.104 0.661
Hg 0.020 0.728 0.041
Hg 0.848 0.831 0.697
Nd 0.791 0.346 0.581
Nd 0.209 0.654 0.419
Sm 0.500 0.000 0.000

symmetry: C2/m (12)
excess energy over the best structure of this formula in the dataset: 0 meV/atom
N(E_F): 5.389 states/eV/cell
energy relative to the elements: -3.903 eV per formula unit



Density functional theory data (GGA-PBE) for crystalline Tm8SnOs2 at its relaxed geometry.

a = 4.920 Å, b = 7.012 Å, c = 9.077 Å
α = 110.42°, β = 105.73°, γ = 89.99°
Atoms (fractional coordinates):
Tm 0.924 0.510 0.484
Tm 0.171 0.570 0.977
Tm 0.974 0.107 0.584
Tm 0.292 0.323 0.221
Tm 0.556 0.672 0.749
Tm 0.612 0.229 0.861
Tm 0.762 0.968 0.161
Tm 0.367 0.822 0.371
Os 0.770 0.577 0.177
Os 0.448 0.271 0.532
Sn 0.124 0.953 0.884

symmetry: Cm (8)
N(E_F): 8.409 states/eV/cell
energy relative to the elements: -3.472 eV per formula unit



Density functional theory data (GGA-PBE) for crystalline LaHSe at its relaxed geometry.

a = 4.062 Å, b = 4.134 Å, c = 8.276 Å
α = 90.00°, β = 103.20°, γ = 90.00°
Atoms (fractional coordinates):
Se 0.988 0.500 0.641
Se 0.810 0.000 0.237
La 0.645 0.500 0.927
La 0.367 0.500 0.374
H 0.402 0.000 0.898
H 0.218 0.500 0.078

symmetry: Pm (6)
raw total energy: -5.197 eV per atom



Density functional theory data (GGA-PBE) for crystalline CaTbPt at its relaxed geometry.

a = 3.752 Å, b = 7.023 Å, c = 6.880 Å
α = 75.50°, β = 89.57°, γ = 89.97°
Atoms (fractional coordinates):
Pt 0.123 0.687 0.762
Pt 0.123 0.242 0.762
Ca 0.124 0.885 0.103
Ca 0.619 0.391 0.044
Tb 0.626 0.521 0.536
Tb 0.625 0.001 0.610

symmetry: P1 (1)
excess energy over the best structure of this formula in the dataset: 75 meV/atom
N(E_F): 4.985 states/eV/cell
energy relative to the elements: -2.237 eV per formula unit



Density functional theory data (GGA-PBE) for crystalline Ho5Sc2Bi5 at its relaxed geometry.

a = 4.391 Å, b = 7.568 Å, c = 12.496 Å
α = 112.68°, β = 90.00°, γ = 106.86°
Atoms (fractional coordinates):
Ho 0.500 0.000 0.500
Ho 0.335 0.671 0.971
Ho 0.665 0.329 0.029
Ho 0.288 0.575 0.665
Ho 0.712 0.425 0.335
Sc 0.057 0.113 0.796
Sc 0.943 0.887 0.204
Bi 0.000 0.000 0.000
Bi 0.886 0.773 0.574
Bi 0.690 0.379 0.777
Bi 0.310 0.621 0.223
Bi 0.114 0.227 0.426

symmetry: C2/m (12)
N(E_F): 9.147 states/eV/cell
energy relative to the elements: -6.656 eV per formula unit



Density functional theory data (GGA-PBE) for crystalline Al2SiO at its relaxed geometry.

a = 4.239 Å, b = 4.239 Å, c = 4.239 Å
α = 60.00°, β = 60.00°, γ = 60.00°
Atoms (fractional coordinates):
O 0.000 0.000 0.000
Al 0.750 0.750 0.750
Al 0.250 0.250 0.250
Si 0.500 0.500 0.500

symmetry: Fm-3m (225)
energy relative to the elements, uncorrected: -0.04 eV per atom
excess energy over the best structure of this formula in the dataset: 842 meV/atom
N(E_F): 1.364 states/eV/cell



Density functional theory data (GGA-PBE) for crystalline TlAsSCl2 at its relaxed geometry.

a = 5.199 Å, b = 5.199 Å, c = 5.383 Å
α = 90.00°, β = 90.00°, γ = 90.00°
Last column: magnetic moment on the atom in μB.
Atoms (fractional coordinates):
Cl 0.000 0.500 0.000  0.04
Cl 0.500 0.000 0.000  0.04
S 0.000 0.000 0.500  -0.22
Tl 0.000 0.000 0.000  0.01
As 0.500 0.500 0.500  0.93

symmetry: P4/mmm (123)
energy relative to the elements, uncorrected: 0.38 eV per atom
excess energy over the best structure of this formula in the dataset: 795 meV/atom
N(E_F): 2.722 states/eV/cell